Computed, not measured: crystalline NdSmZnPb at its relaxed geometry at the GGA-PBE level of DFT.

As for the density: 8582 kg/m³. As for the formation enthalpy at 0 K: -0.401 eV per atom. As for the symmetry: F-43m, No. 216.

Unit cell a=5.3741 b=5.3741 c=5.3741 alpha=60.00 beta=60.00 gamma=60.00
Last column: nearest neighbours and their distance in Å.
Fractional positions:
Nd 0.0000 0.0000 0.0000  4 Zn 3.29, 4 Pb 3.29
Sm 0.5000 0.5000 0.5000  4 Pb 3.29, 4 Zn 3.29
Zn 0.7500 0.7500 0.7500  4 Nd 3.29, 4 Sm 3.29
Pb 0.2500 0.2500 0.2500  4 Nd 3.29, 4 Sm 3.29